Density functional theory data (GGA-PBE) for an optimized crystal structure of ScFeTc2.

Lattice parameters (Å, degrees): 2.7554 2.7554 7.9106 90.00 90.00 90.00
Fractional positions:
Sc  0.0000  0.0000  0.0000
Fe  0.0000  0.0000  0.5000
Tc  0.5000  0.5000  0.2860
Tc  0.5000  0.5000  0.7140

Computed properties:
Magnetization, μB/cell: 1.20
DOS at the Fermi energy, states/eV/f.u.: 4.01
Relative energy among the computed polymorphs, meV/atom: 145.2
Electronic total energy, eV per atom: -8.7812
Energy relative to the elements, eV/atom: 0.1004



Density functional theory data (GGA-PBE) for an optimized crystal structure of Nd4Si2Sb.

Lattice parameters (Å, degrees): 8.3308 8.3308 8.3308 109.23 109.23 109.96
Fractional positions:
Nd  0.2055  0.2749  0.5694
Nd  0.2055  0.6361  0.9306
Nd  0.2749  0.2055  0.0694
Nd  0.3639  0.7945  0.5694
Nd  0.6361  0.2055  0.4306
Nd  0.7251  0.7945  0.9306
Nd  0.7945  0.3639  0.0694
Nd  0.7945  0.7251  0.4306
Si  0.0000  0.5000  0.5000
Si  0.5000  0.0000  0.0000
Si  0.5000  0.5000  0.0000
Si  0.5000  0.5000  0.5000
Sb  0.1250  0.8750  0.2500
Sb  0.8750  0.1250  0.7500

Computed properties:
Magnetization, μB/cell: 0.02
DOS at the Fermi energy, states/eV/f.u.: 6.06
Electronic total energy, eV per atom: -5.4945